GGA-PBE Be2FePb, optimized geometry; volume = 13.39 A^3/atom; density of states at the Fermi level = 2.8 states/eV/f.u.; ΔE_f = 0.78 eV/atom; ρ = 8.71 g cm⁻³
1.0
0.000 2.992 2.992
2.992 0.000 2.992
2.992 2.992 0.000
Be Fe Pb
2 1 1
Cartesian
0.000 0.000 0.000
1.496 1.496 1.496
2.992 2.992 2.992
4.488 4.488 4.488